Compound: B5C
Source: Alexandria
Functional: PBE-GGA
Structure: optimized geometry

Lattice parameters (Å, degrees): 2.3426 2.3426 15.0147 90.00 90.00 90.00
Space group P-4m2 (No. 115)
Asymmetric unit:
B (0.0000, 0.0000, 0.0000) x1
B (0.0000, 0.0000, 0.3237) x2
B (0.0000, 0.5000, 0.2346) x2
B (0.0000, 0.5000, 0.5887) x2
B (0.0000, 0.5000, 0.9117) x2
B (0.5000, 0.5000, 0.5000) x1
C (0.5000, 0.5000, 0.1617) x2

Computed properties:
For the offset from the most stable computed form, the calculation gives 249 meV/atom. The density of states at the Fermi level is 0.0944 states/eV/atom. Its formation energy is 0.446 eV/atom.

=====

Compound: DyAl3Pd4
Source: Alexandria
Functional: PBE-GGA
Structure: optimized geometry

Lattice parameters (Å, degrees): 4.3156 4.3156 25.2433 90.00 90.00 120.00
Space group R-3m (No. 166, hexagonal axes)
Asymmetric unit:
Dy (0.0000, 0.0000, 0.0000) x3
Al (0.0000, 0.0000, 0.2416) x6
Al (0.0000, 0.0000, 0.5000) x3
Pd (0.0000, 0.0000, 0.1335) x6
Pd (0.0000, 0.0000, 0.4010) x6

Computed properties:
The density of states at the Fermi level is 0.3230 states/eV/atom. Its formation energy is -0.883 eV/atom.

=====

Compound: Eu2HRh
Source: Alexandria
Functional: PBE-GGA
Structure: optimized geometry

Lattice parameters (Å, degrees): 3.3588 3.3588 7.1298 90.00 90.00 90.00
Space group P4/mmm (No. 123)
Asymmetric unit:
Eu (0.0000, 0.0000, 0.2422) x2
H (0.5000, 0.5000, 0.0000) x1
Rh (0.5000, 0.5000, 0.5000) x1

Computed properties:
For the offset from the most stable computed form, the calculation gives 13 meV/atom. The density of states at the Fermi level is 2.1399 states/eV/atom.